Density functional theory data (PBE-GGA) for a geometry-optimized CeHo5Hg3 structure.

Cell: 9.110 9.110 6.800 Å, 90.00 90.00 120.00°
Positions (direct):
Ce1 0.000 0.000 0.000
Ce2 0.000 0.000 0.500
Ho1 0.000 0.326 0.250
Ho2 0.000 0.674 0.750
Ho3 0.326 0.000 0.250
Ho4 0.326 0.326 0.750
Ho5 0.333 0.667 0.000
Ho6 0.333 0.667 0.500
Ho7 0.667 0.333 0.000
Ho8 0.667 0.333 0.500
Ho9 0.674 0.000 0.750
Ho10 0.674 0.674 0.250
Hg1 0.000 0.345 0.750
Hg2 0.000 0.655 0.250
Hg3 0.345 0.000 0.750
Hg4 0.345 0.345 0.250
Hg5 0.655 0.000 0.250
Hg6 0.655 0.655 0.750

Properties
The calculation puts the energy of formation at -232 kJ/mol of formula units.


Density functional theory data (PBE-GGA) for a geometry-optimized BeBiSe2 structure.

Cell: 6.581 6.581 6.581 Å, 121.65 121.65 87.16°
Positions (direct):
Be1 0.000 0.000 0.000
Be2 0.750 0.250 0.500
Bi1 0.250 0.750 0.500
Bi2 0.500 0.500 0.000
Se1 0.030 0.625 0.905
Se2 0.375 0.280 0.405
Se3 0.720 0.125 0.095
Se4 0.875 0.970 0.595

Properties
As for the excess energy over the best structure of this formula in the dataset: 0.0 kJ per mole of atoms.


Density functional theory data (PBE-GGA) for a geometry-optimized ZrPbI3 structure.

Cell: 5.805 5.805 5.805 Å, 90.00 90.00 90.00°
Positions (direct):
Zr1 0.000 0.000 0.000
Pb1 0.500 0.500 0.500
I1 0.000 0.000 0.500
I2 0.000 0.500 0.000
I3 0.500 0.000 0.000

Properties
As for the excess energy over the best structure of this formula in the dataset: 0.0 kJ per mole of atoms.


Density functional theory data (PBE-GGA) for a geometry-optimized RbSrCd10 structure.

Cell: 4.856 6.251 10.794 Å, 90.00 90.00 90.00°
Positions (direct):
Rb1 0.000 0.000 0.000
Sr1 0.000 0.500 0.500
Cd1 0.000 0.000 0.335
Cd2 0.000 0.000 0.665
Cd3 0.000 0.500 0.168
Cd4 0.000 0.500 0.832
Cd5 0.500 0.000 0.500
Cd6 0.500 0.261 0.266
Cd7 0.500 0.261 0.734
Cd8 0.500 0.500 0.000
Cd9 0.500 0.739 0.266
Cd10 0.500 0.739 0.734

Properties
The calculation puts the energy of formation at -141 kJ/mol of formula units.